Entry 1:
# GGA-PBE Tm2ScCu4Si2Ge2, optimized geometry
# Raw total energy (eV per formula unit): -56.837
# SG: Immm
# Energy relative to the lowest polymorph listed for this composition (eV per atom): 0.018
data_Tm2ScCu4Si2Ge2
_chemical_formula_sum 'Tm2 Sc1 Cu4 Si2 Ge2'
_space_group_name_H-M_alt 'P 1'
_space_group_IT_number 1
_cell_length_a 7.787
_cell_length_b 7.787
_cell_length_c 7.787
_cell_angle_alpha 149.32
_cell_angle_beta 130.82
_cell_angle_gamma 59.09
loop_
_space_group_symop_operation_xyz
'x,y,z'
loop_
_atom_site_label
_atom_site_type_symbol
_atom_site_fract_x
_atom_site_fract_y
_atom_site_fract_z
Tm1 Tm 0.129 0.129 0.000
Tm2 Tm 0.871 0.871 0.000
Sc1 Sc 0.500 0.000 0.500
Cu1 Cu 0.144 0.336 0.808
Cu2 Cu 0.472 0.664 0.808
Cu3 Cu 0.528 0.336 0.192
Cu4 Cu 0.856 0.664 0.192
Si1 Si 0.188 0.500 0.688
Si2 Si 0.812 0.500 0.312
Ge1 Ge 0.286 0.786 0.500
Ge2 Ge 0.714 0.214 0.500

---

Entry 2:
# GGA-PBE YSc2Cu4Si2Ge2, optimized geometry
# Raw total energy (eV per formula unit): -60.825
# SG: Immm
# Energy relative to the lowest polymorph listed for this composition (eV per atom): 0.015
data_YSc2Cu4Si2Ge2
_chemical_formula_sum 'Y1 Sc2 Cu4 Si2 Ge2'
_space_group_name_H-M_alt 'P 1'
_space_group_IT_number 1
_cell_length_a 7.732
_cell_length_b 7.732
_cell_length_c 7.732
_cell_angle_alpha 149.84
_cell_angle_beta 129.43
_cell_angle_gamma 60.02
loop_
_space_group_symop_operation_xyz
'x,y,z'
loop_
_atom_site_label
_atom_site_type_symbol
_atom_site_fract_x
_atom_site_fract_y
_atom_site_fract_z
Y1 Y 0.000 0.000 0.000
Sc1 Sc 0.375 0.875 0.500
Sc2 Sc 0.625 0.125 0.500
Cu1 Cu 0.027 0.334 0.693
Cu2 Cu 0.360 0.666 0.693
Cu3 Cu 0.640 0.334 0.307
Cu4 Cu 0.973 0.666 0.307
Si1 Si 0.321 0.500 0.821
Si2 Si 0.679 0.500 0.179
Ge1 Ge 0.222 0.222 0.000
Ge2 Ge 0.778 0.778 0.000

---

Entry 3:
# GGA-PBE YSc2Cu4Si2Ge2, optimized geometry
# Raw total energy (eV per formula unit): -60.991
# SG: Immm
# Energy relative to the lowest polymorph listed for this composition (eV per atom): 0.000
data_YSc2Cu4Si2Ge2
_chemical_formula_sum 'Y1 Sc2 Cu4 Si2 Ge2'
_space_group_name_H-M_alt 'P 1'
_space_group_IT_number 1
_cell_length_a 7.725
_cell_length_b 7.725
_cell_length_c 7.725
_cell_angle_alpha 150.03
_cell_angle_beta 129.27
_cell_angle_gamma 60.05
loop_
_space_group_symop_operation_xyz
'x,y,z'
loop_
_atom_site_label
_atom_site_type_symbol
_atom_site_fract_x
_atom_site_fract_y
_atom_site_fract_z
Y1 Y 0.000 0.000 0.000
Sc1 Sc 0.373 0.873 0.500
Sc2 Sc 0.627 0.127 0.500
Cu1 Cu 0.016 0.324 0.693
Cu2 Cu 0.369 0.676 0.693
Cu3 Cu 0.631 0.324 0.307
Cu4 Cu 0.984 0.676 0.307
Si1 Si 0.221 0.221 0.000
Si2 Si 0.779 0.779 0.000
Ge1 Ge 0.312 0.500 0.812
Ge2 Ge 0.688 0.500 0.188